1.
# Nb6I11 (GGA-PBEsol, relaxed)
data_Nb6I11
_chemical_formula_sum 'Nb24 I44'
_cell_length_a 11.414
_cell_length_b 15.573
_cell_length_c 13.329
_cell_angle_alpha 90.00
_cell_angle_beta 90.00
_cell_angle_gamma 90.00
_symmetry_space_group_name_H-M 'P c c n'
_symmetry_Int_Tables_number 56
loop_
_symmetry_equiv_pos_as_xyz
'x,y,z'
'-x,-y,-z'
'-x+1/2,-y+1/2,z'
'x+1/2,y+1/2,-z'
'x+1/2,-y,-z+1/2'
'-x+1/2,y,z+1/2'
'-x,y+1/2,-z+1/2'
'x,-y+1/2,z+1/2'
loop_
_atom_site_label
_atom_site_type_symbol
_atom_site_fract_x
_atom_site_fract_y
_atom_site_fract_z
_atom_site_occupancy
Nb1 Nb 0.073 0.052 0.121 1
Nb2 Nb 0.098 0.604 0.522 1
Nb3 Nb 0.127 0.050 0.915 1
I1 I 0.038 0.604 0.732 1
I2 I 0.098 0.212 0.016 1
I3 I 0.150 0.612 0.313 1
I4 I 0.183 0.127 0.298 1
I5 I 0.198 0.000 0.557 1
I6 I 0.250 0.750 0.067 1
# Size of the total moment in μB per atom: 0.301
# Total DFT energy (no corrections) in hartree per atom: -0.1989
# Raw formation energy in kJ/mol of formula units: -738
# Crystal system: orthorhombic

***

2.
# NbI4 (GGA-PBEsol, relaxed)
data_NbI4
_chemical_formula_sum 'Nb8 I32'
_cell_length_a 7.643
_cell_length_b 13.029
_cell_length_c 13.957
_cell_angle_alpha 90.00
_cell_angle_beta 90.00
_cell_angle_gamma 90.00
_symmetry_space_group_name_H-M 'C m c 21'
_symmetry_Int_Tables_number 36
loop_
_symmetry_equiv_pos_as_xyz
'x,y,z'
'-x,-y,z+1/2'
'-x,y,z'
'x,-y,z+1/2'
'x+1/2,y+1/2,z'
'-x+1/2,-y+1/2,z+1/2'
'-x+1/2,y+1/2,z'
'x+1/2,-y+1/2,z+1/2'
loop_
_atom_site_label
_atom_site_type_symbol
_atom_site_fract_x
_atom_site_fract_y
_atom_site_fract_z
_atom_site_occupancy
Nb1 Nb 0.212 0.124 0.000 1
I1 I 0.000 0.017 0.413 1
I2 I 0.000 0.256 0.575 1
I3 I 0.000 0.265 0.088 1
I4 I 0.000 0.496 0.425 1
I5 I 0.244 0.238 0.839 1
I6 I 0.245 0.010 0.161 1
# Size of the total moment in μB per atom: 0.000
# Total DFT energy (no corrections) in hartree per atom: -0.1480
# Raw formation energy in kJ/mol of formula units: -217
# Crystal system: orthorhombic

***

3.
# NbNi2RhI (GGA-PBEsol, relaxed)
data_NbNi2RhI
_chemical_formula_sum 'Nb1 Ni2 Rh1 I1'
_cell_length_a 4.583
_cell_length_b 4.583
_cell_length_c 4.722
_cell_angle_alpha 90.00
_cell_angle_beta 90.00
_cell_angle_gamma 90.00
_symmetry_space_group_name_H-M 'P 4/m m m'
_symmetry_Int_Tables_number 123
_symmetry_space_group_name_Hall '-P 4 2'
loop_
_atom_site_label
_atom_site_type_symbol
_atom_site_fract_x
_atom_site_fract_y
_atom_site_fract_z
_atom_site_occupancy
Nb1 Nb 0.000 0.000 0.000 1
Ni1 Ni 0.000 0.500 0.000 1
Rh1 Rh 0.000 0.000 0.500 1
I1 I 0.500 0.500 0.500 1
# Size of the total moment in μB per atom: 0.000
# Total DFT energy (no corrections) in hartree per atom: -0.1968
# Raw formation energy in kJ/mol of formula units: 604
# Crystal system: tetragonal

***

4.
# NbNiTe2I (GGA-PBEsol, relaxed)
data_NbNiTe2I
_chemical_formula_sum 'Nb1 Ni1 Te2 I1'
_cell_length_a 4.953
_cell_length_b 4.953
_cell_length_c 4.999
_cell_angle_alpha 90.00
_cell_angle_beta 90.00
_cell_angle_gamma 90.00
_symmetry_space_group_name_H-M 'P 4/m m m'
_symmetry_Int_Tables_number 123
_symmetry_space_group_name_Hall '-P 4 2'
loop_
_atom_site_label
_atom_site_type_symbol
_atom_site_fract_x
_atom_site_fract_y
_atom_site_fract_z
_atom_site_occupancy
Nb1 Nb 0.000 0.000 0.000 1
Ni1 Ni 0.500 0.500 0.500 1
Te1 Te 0.000 0.500 0.500 1
I1 I 0.500 0.500 0.000 1
# Size of the total moment in μB per atom: 0.450
# Total DFT energy (no corrections) in hartree per atom: -0.1648
# Raw formation energy in kJ/mol of formula units: 326
# Crystal system: tetragonal